# PmHfSc, optimized geometry, DFT PBE
data_PmHfSc
_chemical_formula_sum 'Pm2 Hf2 Sc2'
_cell_length_a 4.561
_cell_length_b 3.311
_cell_length_c 10.661
_cell_angle_alpha 81.01
_cell_angle_beta 90.00
_cell_angle_gamma 90.00
_symmetry_space_group_name_H-M 'P 1'
_symmetry_Int_Tables_number 1
_symmetry_space_group_name_Hall 'P 1'
loop_
_atom_site_label
_atom_site_fract_x
_atom_site_fract_y
_atom_site_fract_z
_atom_site_occupancy
Sc1 0.477 0.502 0.946 1
Pm1 0.477 0.195 0.556 1
Sc2 0.977 0.782 0.382 1
Hf1 0.477 0.356 0.236 1
Hf2 0.977 0.928 0.093 1
Pm2 0.977 0.089 0.773 1
# * excess energy over the best structure of this formula in the dataset: 25 meV per atom
# * energy: -20.62 eV per formula unit
# * SG: P2_1/m, No. 11
# * energy of formation: 0.42 eV/f.u.